# Ho4In3Tc (PBE, relaxed)
data_Ho4In3Tc
_symmetry_space_group_name_H-M 'P 1'
_symmetry_Int_Tables_number 1
_cell_length_a 3.5632
_cell_length_b 3.5632
_cell_length_c 15.5767
_cell_angle_alpha 90.00
_cell_angle_beta 90.00
_cell_angle_gamma 90.00
loop_
_symmetry_equiv_pos_as_xyz
'x,y,z'
loop_
_atom_site_label
_atom_site_type_symbol
_atom_site_fract_x
_atom_site_fract_y
_atom_site_fract_z
_atom_site_occupancy
Ho1 Ho 0.0000 0.0000 0.1016 1
Ho2 Ho 0.0000 0.0000 0.3666 1
Ho3 Ho 0.0000 0.0000 0.6334 1
Ho4 Ho 0.0000 0.0000 0.8984 1
In1 In 0.5000 0.5000 0.2343 1
In2 In 0.5000 0.5000 0.5000 1
In3 In 0.5000 0.5000 0.7657 1
Tc1 Tc 0.5000 0.5000 0.0000 1
# Formation enthalpy at 0 K = -0.367 eV/atom
# Volume = 24.7 Å³/atom
# Size of the total moment = 0.00 μB/f.u.
# Fermi-level density of states = 7.28 states/eV/f.u.
# SG = P4/mmm
# Theoretical density = 9.3 g cm⁻³

---

# AcZnNiRh (PBE, relaxed)
data_AcZnNiRh
_symmetry_space_group_name_H-M 'P 1'
_symmetry_Int_Tables_number 1
_cell_length_a 4.3470
_cell_length_b 4.3470
_cell_length_c 5.6235
_cell_angle_alpha 112.62
_cell_angle_beta 112.62
_cell_angle_gamma 59.98
loop_
_symmetry_equiv_pos_as_xyz
'x,y,z'
loop_
_atom_site_label
_atom_site_type_symbol
_atom_site_fract_x
_atom_site_fract_y
_atom_site_fract_z
_atom_site_occupancy
Ac1 Ac 0.0000 0.0000 0.0000 1
Zn1 Zn 0.4990 0.4990 0.4967 1
Ni1 Ni 0.8076 0.8076 0.4223 1
Rh1 Rh 0.2002 0.2002 0.6006 1
# Formation enthalpy at 0 K = -0.455 eV/atom
# Volume = 20.6 Å³/atom
# Size of the total moment = 0.00 μB/f.u.
# Fermi-level density of states = 2.52 states/eV/f.u.
# SG = Cm
# Theoretical density = 9.1 g cm⁻³

---

# Tb2Pr5Y (PBE, relaxed)
data_Tb2Pr5Y
_symmetry_space_group_name_H-M 'P 1'
_symmetry_Int_Tables_number 1
_cell_length_a 9.2203
_cell_length_b 9.2203
_cell_length_c 9.2203
_cell_angle_alpha 119.36
_cell_angle_beta 119.36
_cell_angle_gamma 91.11
loop_
_symmetry_equiv_pos_as_xyz
'x,y,z'
loop_
_atom_site_label
_atom_site_type_symbol
_atom_site_fract_x
_atom_site_fract_y
_atom_site_fract_z
_atom_site_occupancy
Tb1 Tb 0.1459 0.6459 0.7918 1
Tb2 Tb 0.3541 0.1459 0.5000 1
Tb3 Tb 0.6459 0.8541 0.5000 1
Tb4 Tb 0.8541 0.3541 0.2082 1
Pr1 Pr 0.0000 0.0000 0.0000 1
Pr2 Pr 0.0140 0.8135 0.5000 1
Pr3 Pr 0.1865 0.6865 0.2005 1
Pr4 Pr 0.3135 0.5140 0.5000 1
Pr5 Pr 0.4860 0.9860 0.7995 1
Pr6 Pr 0.5000 0.5000 0.0000 1
Pr7 Pr 0.5140 0.0140 0.2005 1
Pr8 Pr 0.6865 0.4860 0.5000 1
Pr9 Pr 0.8135 0.3135 0.7995 1
Pr10 Pr 0.9860 0.1865 0.5000 1
Y1 Y 0.2500 0.2500 0.0000 1
Y2 Y 0.7500 0.7500 0.0000 1
# Formation enthalpy at 0 K = 0.111 eV/atom
# Volume = 35.0 Å³/atom
# Size of the total moment = 0.53 μB/f.u.
# Fermi-level density of states = 11.14 states/eV/f.u.
# SG = I4/mcm
# Theoretical density = 6.6 g cm⁻³

---

# TlCdAgCl4 (PBE, relaxed)
data_TlCdAgCl4
_symmetry_space_group_name_H-M 'P 1'
_symmetry_Int_Tables_number 1
_cell_length_a 6.7849
_cell_length_b 7.3529
_cell_length_c 8.6533
_cell_angle_alpha 90.00
_cell_angle_beta 102.27
_cell_angle_gamma 90.00
loop_
_symmetry_equiv_pos_as_xyz
'x,y,z'
loop_
_atom_site_label
_atom_site_type_symbol
_atom_site_fract_x
_atom_site_fract_y
_atom_site_fract_z
_atom_site_occupancy
Tl1 Tl 0.2311 0.2500 0.0302 1
Tl2 Tl 0.7689 0.7500 0.9698 1
Cd1 Cd 0.2623 0.7500 0.3279 1
Cd2 Cd 0.7377 0.2500 0.6721 1
Ag1 Ag 0.1409 0.2500 0.5104 1
Ag2 Ag 0.8591 0.7500 0.4896 1
Cl1 Cl 0.0189 0.0085 0.7143 1
Cl2 Cl 0.0189 0.4915 0.7143 1
Cl3 Cl 0.3619 0.7500 0.0697 1
Cl4 Cl 0.4853 0.2500 0.4228 1
Cl5 Cl 0.5147 0.7500 0.5772 1
Cl6 Cl 0.6381 0.2500 0.9303 1
Cl7 Cl 0.9811 0.5085 0.2857 1
Cl8 Cl 0.9811 0.9915 0.2857 1
# Volume = 30.1 Å³/atom
# Size of the total moment = 0.00 μB/f.u.
# Fermi-level density of states = 0.00 states/eV/f.u.
# Formation energy from raw total energies = -0.85 eV/atom
# SG = P2_1/m
# Theoretical density = 4.5 g cm⁻³

---

# Al2CdBr (PBE, relaxed)
data_Al2CdBr
_symmetry_space_group_name_H-M 'P 1'
_symmetry_Int_Tables_number 1
_cell_length_a 4.1607
_cell_length_b 4.1607
_cell_length_c 5.5812
_cell_angle_alpha 90.00
_cell_angle_beta 90.00
_cell_angle_gamma 90.00
loop_
_symmetry_equiv_pos_as_xyz
'x,y,z'
loop_
_atom_site_label
_atom_site_type_symbol
_atom_site_fract_x
_atom_site_fract_y
_atom_site_fract_z
_atom_site_occupancy
Al1 Al 0.0000 0.5000 0.0000 1
Al2 Al 0.5000 0.0000 0.0000 1
Cd1 Cd 0.0000 0.0000 0.5000 1
Br1 Br 0.5000 0.5000 0.5000 1
# Energy relative to the lowest polymorph listed for this composition = 20.2 kJ per mole of atoms
# Volume = 24.2 Å³/atom
# Size of the total moment = 0.00 μB/f.u.
# Fermi-level density of states = 2.02 states/eV/f.u.
# Formation energy from raw total energies = 0.26 eV/atom
# SG = P4/mmm
# Theoretical density = 4.2 g cm⁻³

---

# HRhCl2 (PBE, relaxed)
data_HRhCl2
_symmetry_space_group_name_H-M 'P 1'
_symmetry_Int_Tables_number 1
_cell_length_a 5.9509
_cell_length_b 5.9509
_cell_length_c 5.9509
_cell_angle_alpha 127.58
_cell_angle_beta 127.58
_cell_angle_gamma 77.30
loop_
_symmetry_equiv_pos_as_xyz
'x,y,z'
loop_
_atom_site_label
_atom_site_type_symbol
_atom_site_fract_x
_atom_site_fract_y
_atom_site_fract_z
_atom_site_occupancy
H1 H 0.0000 0.0000 0.0000 1
H2 H 0.7500 0.2500 0.5000 1
Rh1 Rh 0.2500 0.7500 0.5000 1
Rh2 Rh 0.5000 0.5000 0.0000 1
Cl1 Cl 0.0552 0.6250 0.9302 1
Cl2 Cl 0.3750 0.3052 0.4302 1
Cl3 Cl 0.6948 0.1250 0.0698 1
Cl4 Cl 0.8750 0.9448 0.5698 1
# Energy relative to the lowest polymorph listed for this composition = 31.8 kJ per mole of atoms
# Volume = 16.0 Å³/atom
# Size of the total moment = 1.99 μB/f.u.
# Fermi-level density of states = 1.09 states/eV/f.u.
# SG = I-42d
# Theoretical density = 4.5 g cm⁻³

---

# CdInSi2 (PBE, relaxed)
data_CdInSi2
_symmetry_space_group_name_H-M 'P 1'
_symmetry_Int_Tables_number 1
_cell_length_a 4.5838
_cell_length_b 4.5838
_cell_length_c 6.4602
_cell_angle_alpha 113.00
_cell_angle_beta 113.00
_cell_angle_gamma 47.71
loop_
_symmetry_equiv_pos_as_xyz
'x,y,z'
loop_
_atom_site_label
_atom_site_type_symbol
_atom_site_fract_x
_atom_site_fract_y
_atom_site_fract_z
_atom_site_occupancy
Cd1 Cd 0.0000 0.0000 0.0000 1
In1 In 0.8550 0.8550 0.3425 1
Si1 Si 0.2211 0.2211 0.8137 1
Si2 Si 0.6399 0.6399 0.5570 1
# Energy relative to the lowest polymorph listed for this composition = 0.0 kJ per mole of atoms
# Volume = 22.7 Å³/atom
# Size of the total moment = 0.00 μB/f.u.
# Fermi-level density of states = 0.90 states/eV/f.u.
# Formation energy from raw total energies = 0.27 eV/atom
# SG = Cm
# Theoretical density = 5.2 g cm⁻³

---

# ScTl2Ir (PBE, relaxed)
data_ScTl2Ir
_symmetry_space_group_name_H-M 'P 1'
_symmetry_Int_Tables_number 1
_cell_length_a 4.9237
_cell_length_b 4.9237
_cell_length_c 4.9237
_cell_angle_alpha 60.00
_cell_angle_beta 60.00
_cell_angle_gamma 60.00
loop_
_symmetry_equiv_pos_as_xyz
'x,y,z'
loop_
_atom_site_label
_atom_site_type_symbol
_atom_site_fract_x
_atom_site_fract_y
_atom_site_fract_z
_atom_site_occupancy
Sc1 Sc 0.0000 0.0000 0.0000 1
Tl1 Tl 0.5000 0.5000 0.5000 1
Tl2 Tl 0.7500 0.7500 0.7500 1
Ir1 Ir 0.2500 0.2500 0.2500 1
# Formation enthalpy at 0 K = 0.046 eV/atom
# Volume = 21.1 Å³/atom
# Size of the total moment = 0.00 μB/f.u.
# Fermi-level density of states = 1.90 states/eV/f.u.
# SG = F-43m
# Theoretical density = 12.7 g cm⁻³

---

# NaCaGa4 (PBE, relaxed)
data_NaCaGa4
_symmetry_space_group_name_H-M 'P 1'
_symmetry_Int_Tables_number 1
_cell_length_a 5.6219
_cell_length_b 5.6219
_cell_length_c 5.6219
_cell_angle_alpha 60.00
_cell_angle_beta 60.00
_cell_angle_gamma 60.00
loop_
_symmetry_equiv_pos_as_xyz
'x,y,z'
loop_
_atom_site_label
_atom_site_type_symbol
_atom_site_fract_x
_atom_site_fract_y
_atom_site_fract_z
_atom_site_occupancy
Na1 Na 0.0000 0.0000 0.0000 1
Ca1 Ca 0.2500 0.2500 0.2500 1
Ga1 Ga 0.1246 0.6251 0.6251 1
Ga2 Ga 0.6251 0.1246 0.6251 1
Ga3 Ga 0.6251 0.6251 0.1246 1
Ga4 Ga 0.6251 0.6251 0.6251 1
# Formation enthalpy at 0 K = -0.311 eV/atom
# Volume = 20.9 Å³/atom
# Size of the total moment = 0.00 μB/f.u.
# Fermi-level density of states = 1.74 states/eV/f.u.
# SG = F-43m
# Theoretical density = 4.5 g cm⁻³

---

# Mn2TlCu (PBE, relaxed)
data_Mn2TlCu
_symmetry_space_group_name_H-M 'P 1'
_symmetry_Int_Tables_number 1
_cell_length_a 9.0002
_cell_length_b 9.0002
_cell_length_c 9.0002
_cell_angle_alpha 18.99
_cell_angle_beta 18.99
_cell_angle_gamma 18.99
loop_
_symmetry_equiv_pos_as_xyz
'x,y,z'
loop_
_atom_site_label
_atom_site_type_symbol
_atom_site_fract_x
_atom_site_fract_y
_atom_site_fract_z
_atom_site_occupancy
Mn1 Mn 0.0000 0.0000 0.0000 1
Mn2 Mn 0.2559 0.2559 0.2559 1
Tl1 Tl 0.4983 0.4983 0.4983 1
Cu1 Cu 0.7407 0.7407 0.7407 1
# Formation enthalpy at 0 K = 0.570 eV/atom
# Volume = 16.9 Å³/atom
# Size of the total moment = 6.70 μB/f.u.
# Fermi-level density of states = 2.83 states/eV/f.u.
# SG = R3m
# Theoretical density = 9.3 g cm⁻³

---

# MgNiHAu2 (PBE, relaxed)
data_MgNiHAu2
_symmetry_space_group_name_H-M 'P 1'
_symmetry_Int_Tables_number 1
_cell_length_a 4.4480
_cell_length_b 4.4480
_cell_length_c 3.3766
_cell_angle_alpha 90.00
_cell_angle_beta 90.00
_cell_angle_gamma 90.00
loop_
_symmetry_equiv_pos_as_xyz
'x,y,z'
loop_
_atom_site_label
_atom_site_type_symbol
_atom_site_fract_x
_atom_site_fract_y
_atom_site_fract_z
_atom_site_occupancy
Mg1 Mg 0.0000 0.0000 0.0000 1
Ni1 Ni 0.5000 0.5000 0.0000 1
H1 H 0.5000 0.5000 0.5000 1
Au1 Au 0.0000 0.5000 0.5000 1
Au2 Au 0.5000 0.0000 0.5000 1
# Calculated total energy = -3.600 eV/atom
# Volume = 13.4 Å³/atom
# Size of the total moment = 0.00 μB/f.u.
# Fermi-level density of states = 1.77 states/eV/f.u.
# SG = P4/mmm
# Theoretical density = 11.9 g cm⁻³

---

# RbNa2BiF8 (PBE, relaxed)
data_RbNa2BiF8
_symmetry_space_group_name_H-M 'P 1'
_symmetry_Int_Tables_number 1
_cell_length_a 5.0484
_cell_length_b 5.2312
_cell_length_c 8.0614
_cell_angle_alpha 90.07
_cell_angle_beta 90.05
_cell_angle_gamma 90.87
loop_
_symmetry_equiv_pos_as_xyz
'x,y,z'
loop_
_atom_site_label
_atom_site_type_symbol
_atom_site_fract_x
_atom_site_fract_y
_atom_site_fract_z
_atom_site_occupancy
Rb1 Rb 0.0000 0.0000 0.0000 1
Na1 Na 0.5002 0.5002 0.2441 1
Na2 Na 0.4998 0.4998 0.7559 1
Bi1 Bi 0.0000 0.0000 0.5000 1
F1 F 0.1508 0.7678 0.3080 1
F2 F 0.1516 0.7685 0.6919 1
F3 F 0.3375 0.2468 0.5000 1
F4 F 0.4792 0.2693 0.9999 1
F5 F 0.5208 0.7307 0.0001 1
F6 F 0.6625 0.7532 0.5000 1
F7 F 0.8484 0.2315 0.3081 1
F8 F 0.8492 0.2322 0.6920 1
# Volume = 17.7 Å³/atom
# Size of the total moment = 1.04 μB/f.u.
# Fermi-level density of states = 3.93 states/eV/f.u.
# Formation energy from raw total energies = -2.29 eV/atom
# SG = P-1
# Theoretical density = 3.8 g cm⁻³